A relaxed CsAsW2O8 crystal. Source: Alexandria via LeMat-Bulk, functional GGA+U.

- Uncorrected energy: -6.657 eV/atom
- Calculated volume: 281.7 Å³ per cell

abc: 9.918 9.918 9.918
angles: 34.67 34.67 34.67
Fractional coordinates of all 12 atoms:
Cs (0.000, 0.000, 0.000)
As (0.500, 0.500, 0.500)
W (0.233, 0.233, 0.233)
W (0.767, 0.767, 0.767)
O (0.126, 0.622, 0.615)
O (0.297, 0.297, 0.297)
O (0.378, 0.874, 0.385)
O (0.385, 0.378, 0.874)
O (0.615, 0.126, 0.622)
O (0.622, 0.615, 0.126)
O (0.703, 0.703, 0.703)
O (0.874, 0.385, 0.378)